(1)
Ca2Ag3Br7 | PBE | optimized geometry

* space-group type: Cmc2_1
* E_form (uncorrected): -1.15 eV/atom

Lattice parameters (Å, degrees): 7.379 7.505 13.559 106.07 90.00 90.00
Sites, in units of the cell vectors:
1 Br 0.914 0.985 0.149
2 Br 0.585 0.446 0.723
3 Br 0.414 0.015 0.851
4 Br 0.914 0.835 0.851
5 Br 0.414 0.165 0.149
6 Br 0.085 0.277 0.723
7 Br 0.663 0.924 0.582
8 Br 0.585 0.723 0.277
9 Br 0.861 0.375 0.000
10 Br 0.663 0.343 0.418
11 Br 0.361 0.625 0.000
12 Br 0.163 0.076 0.418
13 Br 0.085 0.554 0.277
14 Br 0.163 0.657 0.582
15 Ag 0.303 0.409 0.399
16 Ag 0.721 0.730 0.000
17 Ag 0.221 0.270 0.000
18 Ag 0.303 0.010 0.601
19 Ag 0.803 0.591 0.601
20 Ag 0.803 0.990 0.399
21 Ca 0.753 0.356 0.211
22 Ca 0.253 0.644 0.789
23 Ca 0.753 0.146 0.789
24 Ca 0.253 0.854 0.211

***

(2)
K2NaCl | PBE | optimized geometry

* space-group type: R-3m
* energy relative to the lowest polymorph listed for this composition: 0 meV/atom
* E_form (uncorrected): -0.91 eV/atom

Lattice parameters (Å, degrees): 4.370 4.370 11.057 78.60 78.60 60.00
Sites, in units of the cell vectors:
1 Na 0.500 0.500 0.500
2 Cl 0.000 0.000 0.000
3 K 0.727 0.727 0.820
4 K 0.273 0.273 0.180

***

(3)
Ac2ErThP4 | PBE | optimized geometry

* space-group type: P2/m
* formation energy: -1.51 eV per atom

Lattice parameters (Å, degrees): 4.241 7.312 7.406 109.30 90.00 90.00
Sites, in units of the cell vectors:
1 Th 0.000 0.000 0.000
2 P 0.500 0.246 0.227
3 P 0.500 0.754 0.773
4 P 0.000 0.739 0.226
5 P 0.000 0.261 0.774
6 Er 0.500 0.500 0.000
7 Ac 0.000 0.500 0.500
8 Ac 0.500 0.000 0.500

***

(4)
Ho2Zn4Cd3 | PBE | optimized geometry

* space-group type: Cmce
* formation energy: -0.20 eV per atom

Lattice parameters (Å, degrees): 5.870 7.672 8.789 90.00 109.51 90.00
Sites, in units of the cell vectors:
1 Cd 0.011 0.750 0.522
2 Cd 0.511 0.750 0.522
3 Cd 0.500 0.500 0.000
4 Cd 0.989 0.250 0.478
5 Cd 0.000 0.000 0.000
6 Cd 0.489 0.250 0.478
7 Zn 0.163 0.984 0.327
8 Zn 0.822 0.250 0.144
9 Zn 0.337 0.484 0.673
10 Zn 0.178 0.750 0.856
11 Zn 0.663 0.516 0.327
12 Zn 0.678 0.750 0.856
13 Zn 0.322 0.250 0.144
14 Zn 0.837 0.016 0.673
15 Ho 0.097 0.602 0.193
16 Ho 0.403 0.102 0.807
17 Ho 0.597 0.898 0.193
18 Ho 0.903 0.398 0.807

***

(5)
SrFeMo2 | PBE | optimized geometry

* space-group type: Imm2
* energy relative to the lowest polymorph listed for this composition: 372 meV/atom
* formation energy: 0.98 eV per atom

Lattice parameters (Å, degrees): 5.617 5.617 5.617 146.37 124.06 66.88
Sites, in units of the cell vectors:
1 Mo 0.985 0.985 0.000
2 Mo 0.791 0.291 0.500
3 Sr 0.503 0.503 0.000
4 Fe 0.221 0.721 0.500

***

(6)
Ba2ReW | PBE | optimized geometry

* space-group type: I4/mmm
* energy relative to the lowest polymorph listed for this composition: 1073 meV/atom
* formation energy: 1.64 eV per atom

Lattice parameters (Å, degrees): 6.411 6.411 6.411 141.79 141.79 55.15
Sites, in units of the cell vectors:
1 Ba 0.000 0.000 0.000
2 Ba 0.500 0.500 0.000
3 W 0.750 0.250 0.500
4 Re 0.250 0.750 0.500

***

(7)
Co4Ru | PBE | optimized geometry

* space-group type: I4/m
* energy relative to the lowest polymorph listed for this composition: 6 meV/atom
* formation energy: 0.13 eV per atom

Lattice parameters (Å, degrees): 4.382 4.382 4.382 99.50 99.50 132.07
Sites, in units of the cell vectors:
1 Co 0.400 0.804 0.204
2 Co 0.600 0.196 0.796
3 Co 0.804 0.600 0.404
4 Co 0.196 0.400 0.596
5 Ru 0.000 0.000 0.000

***

(8)
InTcW2 | PBE | optimized geometry

* space-group type: I-4m2
* energy relative to the lowest polymorph listed for this composition: 189 meV/atom
* formation energy: 0.48 eV per atom

Lattice parameters (Å, degrees): 4.947 4.947 4.947 131.33 131.33 71.29
Sites, in units of the cell vectors:
1 Tc 0.750 0.250 0.500
2 W 0.000 0.000 0.000
3 W 0.250 0.750 0.500
4 In 0.500 0.500 0.000

***

(9)
SrLaCe2S4 | PBE | optimized geometry

* space-group type: P2/m
* E_form (uncorrected): -2.04 eV/atom

Lattice parameters (Å, degrees): 4.098 7.183 7.129 70.84 90.00 90.00
Sites, in units of the cell vectors:
1 Sr 0.000 0.500 0.500
2 Ce 0.500 0.000 0.500
3 Ce 0.000 0.000 0.000
4 S 0.000 0.758 0.748
5 S 0.500 0.759 0.246
6 S 0.000 0.242 0.252
7 S 0.500 0.241 0.754
8 La 0.500 0.500 0.000

***

(10)
Y2PdAu2 | PBE | optimized geometry

* space-group type: P4/mbm
* energy relative to the lowest polymorph listed for this composition: 0 meV/atom
* formation energy: -0.79 eV per atom

Lattice parameters (Å, degrees): 7.612 7.612 3.900 90.00 90.00 90.00
Sites, in units of the cell vectors:
1 Au 0.369 0.869 0.000
2 Au 0.631 0.131 0.000
3 Au 0.131 0.369 0.000
4 Au 0.869 0.631 0.000
5 Pd 0.500 0.500 0.000
6 Pd 0.000 0.000 0.000
7 Y 0.828 0.328 0.500
8 Y 0.172 0.672 0.500
9 Y 0.328 0.172 0.500
10 Y 0.672 0.828 0.500

***

(11)
Ba2SrRe | PBE | optimized geometry

* space-group type: P4/mmm
* energy relative to the lowest polymorph listed for this composition: 215 meV/atom
* formation energy: 1.05 eV per atom

Lattice parameters (Å, degrees): 9.055 5.279 5.129 89.98 55.53 125.64
Sites, in units of the cell vectors:
1 Re 0.000 0.500 0.500
2 Ba 0.000 0.000 0.000
3 Ba 0.500 0.000 0.500
4 Sr 0.500 0.500 0.000

***

(12)
Ac5Pr6Nd | PBE | optimized geometry

* space-group type: Immm
* formation energy: 0.03 eV per atom

Lattice parameters (Å, degrees): 5.450 10.133 10.133 107.47 105.61 105.61
Sites, in units of the cell vectors:
1 Pr 0.747 0.247 0.247
2 Pr 0.248 0.083 0.414
3 Pr 0.248 0.414 0.083
4 Pr 0.752 0.917 0.586
5 Pr 0.253 0.753 0.753
6 Pr 0.752 0.586 0.917
7 Ac 0.000 0.667 0.333
8 Ac 0.500 0.836 0.164
9 Ac 0.000 0.333 0.667
10 Ac 0.500 0.164 0.836
11 Ac 0.500 0.500 0.500
12 Nd 0.000 0.000 0.000

***

(13)
Pr6ErTl6 | PBE | optimized geometry

* space-group type: Cmmm
* formation energy: -0.13 eV per atom

Lattice parameters (Å, degrees): 6.705 6.705 10.468 90.00 90.00 117.29
Sites, in units of the cell vectors:
1 Pr 0.500 0.500 0.307
2 Pr 0.500 0.500 0.693
3 Pr 0.000 0.500 0.219
4 Pr 0.500 0.000 0.781
5 Pr 0.500 0.000 0.219
6 Pr 0.000 0.500 0.781
7 Tl 0.758 0.242 0.500
8 Tl 0.000 0.000 0.696
9 Tl 0.628 0.372 0.000
10 Tl 0.372 0.628 0.000
11 Tl 0.242 0.758 0.500
12 Tl 0.000 0.000 0.304
13 Er 0.000 0.000 0.000

***

(14)
YBi2Br | PBE | optimized geometry

* space-group type: Fm-3m
* energy relative to the lowest polymorph listed for this composition: 332 meV/atom
* E_form (uncorrected): -0.13 eV/atom

Lattice parameters (Å, degrees): 5.558 5.558 5.558 60.00 60.00 60.00
Sites, in units of the cell vectors:
1 Bi 0.250 0.250 0.250
2 Bi 0.750 0.750 0.750
3 Br 0.000 0.000 0.000
4 Y 0.500 0.500 0.500

***

(15)
LaY3Hg2 | PBE | optimized geometry

* space-group type: Pmc2_1
* formation energy: -0.36 eV per atom

Lattice parameters (Å, degrees): 5.150 7.229 9.446 90.00 90.00 90.00
Sites, in units of the cell vectors:
1 Hg 0.500 0.743 0.856
2 Hg 0.000 0.757 0.349
3 Hg 0.000 0.257 0.651
4 Hg 0.500 0.243 0.144
5 Y 0.000 0.484 0.941
6 Y 0.500 0.166 0.831
7 Y 0.000 0.835 0.682
8 Y 0.500 0.666 0.169
9 Y 0.000 0.335 0.318
10 Y 0.000 0.984 0.059
11 La 0.500 0.015 0.441
12 La 0.500 0.515 0.559

***

(16)
Pr4TmAl5 | PBE | optimized geometry

* space-group type: P4/mmm
* formation energy: -0.35 eV per atom

Lattice parameters (Å, degrees): 3.712 3.712 18.648 90.00 90.00 90.00
Sites, in units of the cell vectors:
1 Al 0.500 0.500 0.500
2 Al 0.500 0.500 0.295
3 Al 0.500 0.500 0.705
4 Al 0.500 0.500 0.087
5 Al 0.500 0.500 0.913
6 Pr 0.000 0.000 0.397
7 Pr 0.000 0.000 0.603
8 Pr 0.000 0.000 0.192
9 Pr 0.000 0.000 0.808
10 Tm 0.000 0.000 0.000

***

(17)
ScBe2Ni5 | PBE | optimized geometry

* space-group type: Immm
* formation energy: -0.31 eV per atom

Lattice parameters (Å, degrees): 3.419 5.602 5.602 67.14 72.23 72.23
Sites, in units of the cell vectors:
1 Ni 0.647 0.549 0.156
2 Ni 0.353 0.451 0.844
3 Ni 0.353 0.844 0.451
4 Ni 0.647 0.156 0.549
5 Ni 0.000 0.500 0.500
6 Be 0.760 0.740 0.740
7 Be 0.240 0.260 0.260
8 Sc 0.000 0.000 0.000

***

(18)
Ba2IrW | PBE | optimized geometry

* space-group type: P4/mmm
* energy relative to the lowest polymorph listed for this composition: 1111 meV/atom
* formation energy: 1.26 eV per atom

Lattice parameters (Å, degrees): 4.917 4.917 4.614 90.00 90.00 90.00
Sites, in units of the cell vectors:
1 Ba 0.000 0.000 0.000
2 Ba 0.500 0.500 0.000
3 Ir 0.500 0.000 0.500
4 W 0.000 0.500 0.500

***

(19)
DySn3Pd12 | PBE | optimized geometry

* space-group type: P4/mmm
* formation energy: -0.60 eV per atom

Lattice parameters (Å, degrees): 4.068 4.068 16.192 90.00 90.00 90.00
Sites, in units of the cell vectors:
1 Pd 0.500 0.500 0.253
2 Pd 0.000 0.500 0.376
3 Pd 0.000 0.500 0.130
4 Pd 0.500 0.000 0.376
5 Pd 0.000 0.500 0.624
6 Pd 0.500 0.500 0.500
7 Pd 0.500 0.500 0.747
8 Pd 0.500 0.000 0.624
9 Pd 0.000 0.500 0.870
10 Pd 0.500 0.500 0.000
11 Pd 0.500 0.000 0.130
12 Pd 0.500 0.000 0.870
13 Sn 0.000 0.000 0.500
14 Sn 0.000 0.000 0.252
15 Sn 0.000 0.000 0.748
16 Dy 0.000 0.000 0.000

***

(20)
Ac2NiBi | PBE | optimized geometry

* space-group type: Fm-3m
* energy relative to the lowest polymorph listed for this composition: 161 meV/atom
* formation energy: -0.28 eV per atom

Lattice parameters (Å, degrees): 5.642 5.642 5.642 60.00 60.00 60.00
Sites, in units of the cell vectors:
1 Ni 0.500 0.500 0.500
2 Ac 0.750 0.750 0.750
3 Ac 0.250 0.250 0.250
4 Bi 0.000 0.000 0.000

***

(21)
TiCuHg3 | PBE | optimized geometry

* space-group type: Pm-3m
* energy relative to the lowest polymorph listed for this composition: 282 meV/atom
* formation energy: 0.86 eV per atom

Lattice parameters (Å, degrees): 5.381 5.381 5.381 90.00 90.00 90.00
Sites, in units of the cell vectors:
1 Hg 0.500 0.000 0.000
2 Hg 0.000 0.000 0.500
3 Hg 0.000 0.500 0.000
4 Ti 0.000 0.000 0.000
5 Cu 0.500 0.500 0.500

***

(22)
AlCoAg2 | PBE | optimized geometry

* space-group type: P2/m
* formation energy: 0.11 eV per atom

Lattice parameters (Å, degrees): 2.853 4.665 5.617 54.85 90.00 90.00
Sites, in units of the cell vectors:
1 Ag 0.000 0.000 0.000
2 Ag 0.500 0.500 0.000
3 Co 0.000 0.000 0.500
4 Al 0.500 0.500 0.500

***

(23)
Tb3SmEr3Se8 | PBE | optimized geometry

* space-group type: R-3m
* E_form (uncorrected): -1.82 eV/atom

Lattice parameters (Å, degrees): 8.113 8.114 8.119 119.98 90.00 120.00
Sites, in units of the cell vectors:
1 Tb 0.000 0.500 0.000
2 Tb 0.000 0.000 0.000
3 Tb 0.500 0.500 0.000
4 Se 0.258 0.997 0.755
5 Se 0.742 0.484 0.246
6 Se 0.252 0.503 0.255
7 Se 0.258 0.516 0.754
8 Se 0.739 0.997 0.755
9 Se 0.261 0.003 0.245
10 Se 0.742 0.003 0.245
11 Se 0.748 0.497 0.745
12 Sm 0.000 0.000 0.500
13 Er 0.500 0.000 0.500
14 Er 0.000 0.500 0.500
15 Er 0.500 0.500 0.500

***

(24)
YCd2Ag2 | PBE | optimized geometry

* space-group type: P-1
* energy relative to the lowest polymorph listed for this composition: 0 meV/atom
* formation energy: -0.23 eV per atom

Lattice parameters (Å, degrees): 5.761 5.000 4.992 59.40 88.50 114.38
Sites, in units of the cell vectors:
1 Ag 0.227 0.819 0.582
2 Ag 0.773 0.181 0.418
3 Cd 0.645 0.428 0.793
4 Cd 0.355 0.572 0.207
5 Y 0.000 0.000 0.000

***

no.,magnetization (Bohr magnetons per cell),DOS at the Fermi energy (states/eV per atom)
1,0.000,0.000
2,0.000,0.265
3,0.000,0.224
4,0.000,0.574
5,2.307,1.307
6,0.002,0.785
7,5.270,1.750
8,0.000,1.103
9,2.214,1.598
10,0.000,0.736
11,1.377,1.204
12,0.000,1.850
13,0.000,1.139
14,0.000,0.969
15,0.000,0.608
16,0.000,0.383
17,0.000,0.679
18,3.381,0.700
19,0.000,0.260
20,0.510,1.179
21,2.135,1.131
22,1.051,0.604
23,0.000,0.399
24,0.000,0.290